NaPtF: relaxed, PBE-GGA.

Formation energy without anion corrections: -1160.8 meV per atom
Spin magnetization: 0.000 μB per formula unit
Symmetry: Pnma (62)

Cell lengths 5.7527, 2.8839, 11.6958 Å; angles 90.00, 90.00, 90.00 degrees
Atoms (fractional coordinates):
Na 0.1808 0.2500 0.1766
Na 0.3192 0.7500 0.6766
Na 0.6808 0.2500 0.3234
Na 0.8192 0.7500 0.8234
Pt 0.1361 0.2500 0.4441
Pt 0.3639 0.7500 0.9441
Pt 0.6361 0.2500 0.0559
Pt 0.8639 0.7500 0.5559
F 0.1293 0.2500 0.8124
F 0.3707 0.7500 0.3124
F 0.6293 0.2500 0.6876
F 0.8707 0.7500 0.1876

---

NaPtF: relaxed, PBE-GGA.

Formation energy without anion corrections: -1421.3 meV per atom
Spin magnetization: 0.000 μB per formula unit
Symmetry: P4/nmm (129)

Cell lengths 3.3654, 3.3654, 8.8781 Å; angles 90.00, 90.00, 90.00 degrees
Atoms (fractional coordinates):
Na 0.2500 0.2500 0.1344
Na 0.7500 0.7500 0.8656
Pt 0.2500 0.2500 0.5488
Pt 0.7500 0.7500 0.4512
F 0.2500 0.2500 0.8714
F 0.7500 0.7500 0.1286

---

NaPtF: relaxed, PBE-GGA.

Formation energy without anion corrections: -283.5 meV per atom
Spin magnetization: 0.000 μB per formula unit
Symmetry: P6_3/mmc (194)

Cell lengths 3.9804, 3.9804, 8.2040 Å; angles 90.00, 90.00, 120.00 degrees
Atoms (fractional coordinates):
Na 0.0000 0.0000 0.0000
Na 0.0000 0.0000 0.5000
Pt 0.3333 0.6667 0.2500
Pt 0.6667 0.3333 0.7500
F 0.3333 0.6667 0.7500
F 0.6667 0.3333 0.2500